1.
First-principles (GGA-PBE) data for crystalline TbAl2Fe2Ge at its relaxed geometry, as listed in Alexandria via LeMat-Bulk.

The calculation puts the total magnetic moment at 2.9 μB/f.u. Its formation energy is -139 meV per atom.

Structure (CIF):
```
data_TbAl2Fe2Ge
_cell_length_a 4.383
_cell_length_b 4.383
_cell_length_c 5.580
_cell_angle_alpha 90.00
_cell_angle_beta 90.00
_cell_angle_gamma 90.00
_space_group_name_H-M_alt 'P 4/m m m'
_space_group_IT_number 123
_space_group_name_Hall '-P 4 2'
loop_
_atom_site_label
_atom_site_type_symbol
_atom_site_fract_x
_atom_site_fract_y
_atom_site_fract_z
_atom_site_occupancy
Tb1 Tb 0.000 0.000 0.000 1
Al1 Al 0.500 0.500 0.247 1
Fe1 Fe 0.000 0.500 0.500 1
Ge1 Ge 0.000 0.000 0.500 1
```

2.
First-principles (GGA-PBE) data for crystalline CrPd3Ru at its relaxed geometry, as listed in Alexandria via LeMat-Bulk.

The calculation puts the total magnetic moment at 2.6 μB/f.u. Its formation energy is 1290 meV per atom. Its relative energy among the computed polymorphs is 0 meV/atom.

Structure (CIF):
```
data_CrPd3Ru
_cell_length_a 4.506
_cell_length_b 4.506
_cell_length_c 4.506
_cell_angle_alpha 90.00
_cell_angle_beta 90.00
_cell_angle_gamma 90.00
_space_group_name_H-M_alt 'P m -3 m'
_space_group_IT_number 221
_space_group_name_Hall '-P 4 2 3'
loop_
_atom_site_label
_atom_site_type_symbol
_atom_site_fract_x
_atom_site_fract_y
_atom_site_fract_z
_atom_site_occupancy
Cr1 Cr 0.000 0.000 0.000 1
Pd1 Pd 0.000 0.000 0.500 1
Ru1 Ru 0.500 0.500 0.500 1
```

3.
First-principles (GGA-PBE) data for crystalline Dy2AlIn at its relaxed geometry, as listed in Alexandria via LeMat-Bulk.

The calculation puts the total magnetic moment at 0.0 μB/f.u. Its formation energy is -424 meV per atom.

Structure (CIF):
```
data_Dy2AlIn
_cell_length_a 3.615
_cell_length_b 3.615
_cell_length_c 7.648
_cell_angle_alpha 90.00
_cell_angle_beta 90.00
_cell_angle_gamma 90.00
_space_group_name_H-M_alt 'P 4/m m m'
_space_group_IT_number 123
_space_group_name_Hall '-P 4 2'
loop_
_atom_site_label
_atom_site_type_symbol
_atom_site_fract_x
_atom_site_fract_y
_atom_site_fract_z
_atom_site_occupancy
Dy1 Dy 0.000 0.000 0.238 1
Al1 Al 0.500 0.500 0.000 1
In1 In 0.500 0.500 0.500 1
```

4.
First-principles (GGA-PBE) data for crystalline BaCdAgSn2 at its relaxed geometry, as listed in Alexandria via LeMat-Bulk.

The calculation puts the total magnetic moment at 0.0 μB/f.u. Its formation energy is -407 meV per atom.

Structure (CIF):
```
data_BaCdAgSn2
_cell_length_a 4.882
_cell_length_b 4.882
_cell_length_c 12.083
_cell_angle_alpha 90.00
_cell_angle_beta 90.00
_cell_angle_gamma 90.00
_space_group_name_H-M_alt 'I -4 m 2'
_space_group_IT_number 119
_space_group_name_Hall 'I -4 -2'
loop_
_atom_site_label
_atom_site_type_symbol
_atom_site_fract_x
_atom_site_fract_y
_atom_site_fract_z
_atom_site_occupancy
Ba1 Ba 0.000 0.000 0.000 1
Cd1 Cd 0.000 0.500 0.750 1
Ag1 Ag 0.000 0.500 0.250 1
Sn1 Sn 0.000 0.000 0.380 1
```

5.
First-principles (GGA-PBE) data for crystalline BeGePd4 at its relaxed geometry, as listed in Alexandria via LeMat-Bulk.

The calculation puts the total magnetic moment at 0.0 μB/f.u. Its formation energy is -428 meV per atom. Its relative energy among the computed polymorphs is 47 meV/atom.

Structure (CIF):
```
data_BeGePd4
_cell_length_a 7.013
_cell_length_b 4.057
_cell_length_c 6.881
_cell_angle_alpha 90.00
_cell_angle_beta 109.92
_cell_angle_gamma 90.00
_space_group_name_H-M_alt 'C 1 2/m 1'
_space_group_IT_number 12
_space_group_name_Hall '-C 2y'
loop_
_atom_site_label
_atom_site_type_symbol
_atom_site_fract_x
_atom_site_fract_y
_atom_site_fract_z
_atom_site_occupancy
Be1 Be 0.000 0.000 0.000 1
Ge1 Ge 0.000 0.500 0.500 1
Pd1 Pd 0.120 0.000 0.361 1
Pd2 Pd 0.129 0.500 0.888 1
```

6.
First-principles (GGA-PBE) data for crystalline TlCo2Si at its relaxed geometry, as listed in Alexandria via LeMat-Bulk.

The calculation puts the formation energy without anion corrections at 691 meV per atom. The calculation puts the total magnetic moment at 2.0 μB/f.u. Its relative energy among the computed polymorphs is 659 meV/atom.

Structure (CIF):
```
data_TlCo2Si
_cell_length_a 6.195
_cell_length_b 6.195
_cell_length_c 6.195
_cell_angle_alpha 90.00
_cell_angle_beta 90.00
_cell_angle_gamma 90.00
_space_group_name_H-M_alt 'F -4 3 m'
_space_group_IT_number 216
_space_group_name_Hall 'F -4 2 3'
loop_
_atom_site_label
_atom_site_type_symbol
_atom_site_fract_x
_atom_site_fract_y
_atom_site_fract_z
_atom_site_occupancy
Tl1 Tl 0.000 0.000 0.000 1
Co1 Co 0.000 0.000 0.500 1
Co2 Co 0.250 0.250 0.750 1
Si1 Si 0.250 0.250 0.250 1
```

no.,DOS at the Fermi energy (states/eV/cell)
1,5.51
2,7.14
3,1.94
4,3.40
5,2.38
6,24.44